Material: DyPuIn
Method: DFT, PBE
State: relaxed

Summary:
SG: I4mm, No. 107
Size of the total moment: 6.44 μB per formula unit
D(E_F): 2.34 states/eV per atom
Distance to the lowest polymorph of the same formula: 433 meV per atom
Energy of formation from the pure elements: 0.321 eV/atom

Unit cell a=3.157 b=9.129 c=3.157 alpha=80.04 beta=90.00 gamma=99.96
Fractional positions:
Pu: 0.049 0.098 0.951
Dy: 0.231 0.462 0.769
In: 0.870 0.740 0.130

***

Material: Dy2PuIn
Method: DFT, PBE
State: relaxed

Summary:
SG: R3m, No. 160
Size of the total moment: 6.42 μB per formula unit
D(E_F): 2.55 states/eV per atom
Distance to the lowest polymorph of the same formula: 86 meV per atom
Energy of formation from the pure elements: -0.060 eV/atom

Unit cell a=3.521 b=3.521 c=10.972 alpha=80.77 beta=80.77 gamma=60.00
Fractional positions:
Dy: 0.080 0.080 0.760
Dy: 0.253 0.253 0.240
Pu: 0.500 0.500 0.501
In: 0.667 0.667 0.000

***

Material: DyPuInRh
Method: DFT, PBE
State: relaxed

Summary:
SG: F-43m, No. 216
Size of the total moment: 5.31 μB per formula unit
D(E_F): 2.14 states/eV per atom
Energy of formation from the pure elements: -0.311 eV/atom

Unit cell a=5.104 b=5.104 c=5.104 alpha=60.00 beta=60.00 gamma=60.00
Fractional positions:
Rh: 0.000 0.000 0.000
Dy: 0.250 0.250 0.250
In: 0.500 0.500 0.500
Pu: 0.750 0.750 0.750

***

Material: DyPuInRu
Method: DFT, PBE
State: relaxed

Summary:
SG: P4mm, No. 99
Size of the total moment: 4.63 μB per formula unit
D(E_F): 1.77 states/eV per atom
Distance to the lowest polymorph of the same formula: 0 meV per atom
Energy of formation from the pure elements: -0.302 eV/atom

Unit cell a=3.323 b=3.323 c=8.372 alpha=90.00 beta=90.00 gamma=90.00
Fractional positions:
Dy: 0.500 0.500 0.779
Pu: 0.500 0.500 0.365
In: 0.000 0.000 0.071
Ru: 0.000 0.000 0.570

***

Material: DyPuInRu
Method: DFT, PBE
State: relaxed

Summary:
SG: F-43m, No. 216
Size of the total moment: 5.08 μB per formula unit
D(E_F): 1.95 states/eV per atom
Distance to the lowest polymorph of the same formula: 185 meV per atom
Energy of formation from the pure elements: -0.116 eV/atom

Unit cell a=5.063 b=5.063 c=5.063 alpha=60.00 beta=60.00 gamma=60.00
Fractional positions:
Ru: 0.500 0.500 0.500
Dy: 0.250 0.250 0.250
In: 0.000 0.000 0.000
Pu: 0.750 0.750 0.750

***

Material: TbDyPuIn
Method: DFT, PBE
State: relaxed

Summary:
SG: F-43m, No. 216
Size of the total moment: 6.61 μB per formula unit
D(E_F): 2.26 states/eV per atom
Energy of formation from the pure elements: -0.013 eV/atom

Unit cell a=5.425 b=5.425 c=5.425 alpha=60.00 beta=60.00 gamma=60.00
Fractional positions:
In: 0.250 0.250 0.250
Dy: 0.000 0.000 0.000
Tb: 0.750 0.750 0.750
Pu: 0.500 0.500 0.500

***

Material: Dy2PuIn3Te6
Method: DFT, PBE
State: relaxed

Summary:
SG: C2/m, No. 12
Formation energy from raw total energies: -0.87 eV per atom
Size of the total moment: 5.13 μB per formula unit
D(E_F): 1.29 states/eV per atom

Unit cell a=7.685 b=7.685 c=8.453 alpha=98.71 beta=98.71 gamma=120.01
Fractional positions:
Dy: 0.333 0.667 0.000
Dy: 0.667 0.333 0.000
Pu: 0.000 0.000 0.000
In: 0.166 0.834 0.500
In: 0.834 0.166 0.500
In: 0.500 0.500 0.500
Te: 0.926 0.588 0.779
Te: 0.735 0.735 0.220
Te: 0.074 0.412 0.221
Te: 0.588 0.926 0.779
Te: 0.265 0.265 0.780
Te: 0.412 0.074 0.221

***

Material: DyPuThIn
Method: DFT, PBE
State: relaxed

Summary:
SG: F-43m, No. 216
Size of the total moment: 6.65 μB per formula unit
D(E_F): 2.83 states/eV per atom
Energy of formation from the pure elements: 0.050 eV/atom

Unit cell a=5.410 b=5.410 c=5.410 alpha=60.00 beta=60.00 gamma=60.00
Fractional positions:
Dy: 0.000 0.000 0.000
In: 0.250 0.250 0.250
Th: 0.750 0.750 0.750
Pu: 0.500 0.500 0.500